# PBE LuTl2In, relaxed
data_LuTl2In
_chemical_formula_sum 'Lu1 Tl2 In1'
_symmetry_space_group_name_H-M 'P 4/m m m'
_symmetry_Int_Tables_number 123
_symmetry_space_group_name_Hall '-P 4 2'
_cell_length_a 3.947
_cell_length_b 3.947
_cell_length_c 6.930
_cell_angle_alpha 90.00
_cell_angle_beta 90.00
_cell_angle_gamma 90.00
loop_
_atom_site_label
_atom_site_type_symbol
_atom_site_fract_x
_atom_site_fract_y
_atom_site_fract_z
_atom_site_occupancy
Lu1 Lu 0.000 0.000 0.000 1
Tl1 Tl 0.500 0.500 0.251 1
In1 In 0.000 0.000 0.500 1
# * polymorph energy (0 for the lowest one): 46 kJ/mol of formula units
# * energy of formation from the pure elements: -78 meV per atom